1.
Below is NdLu3N after structural relaxation, with properties calculated at the PBE level.

The density comes out at 9798 kg/m³. For the uncorrected formation energy, the calculation gives -0.51 eV/atom.

The structure belongs to space group Pm-3m (No. 221); the cell edges are 4.8739, 4.8739 and 4.8739 Å and the angles 90.00°, 90.00° and 90.00°. The asymmetric unit holds Nd at (0.0000, 0.0000, 0.0000), Lu at (0.0000, 0.5000, 0.5000) and N at (0.5000, 0.5000, 0.5000).



2.
Below is Nd2LuN after structural relaxation, with properties calculated at the PBE level.

The density comes out at 7500 kg/m³. For the uncorrected formation energy, the calculation gives -0.51 eV/atom.

The structure belongs to space group R-3m (No. 166, hexagonal axes); the cell edges are 3.5673, 3.5673 and 28.7757 Å and the angles 90.00°, 90.00° and 120.00°. The asymmetric unit holds Nd at (0.0000, 0.0000, 0.1183), Lu at (0.0000, 0.0000, 0.0000) and N at (0.0000, 0.0000, 0.5000).



3.
Below is LuPN2 after structural relaxation, with properties calculated at the PBE level.

The density comes out at 8269 kg/m³. For the uncorrected formation energy, the calculation gives 0.13 eV/atom.

The structure belongs to space group R-3m (No. 166, hexagonal axes); the cell edges are 2.8910, 2.8910 and 19.4717 Å and the angles 90.00°, 90.00° and 120.00°. The asymmetric unit holds Lu at (0.0000, 0.0000, 0.0000), P at (0.0000, 0.0000, 0.5000) and N at (0.0000, 0.0000, 0.1183).



4.
Below is Lu2PN after structural relaxation, with properties calculated at the PBE level.

The density comes out at 9638 kg/m³. For the uncorrected formation energy, the calculation gives -1.56 eV/atom.

The structure belongs to space group R-3m (No. 166, hexagonal axes); the cell edges are 3.5960, 3.5960 and 18.2271 Å and the angles 90.00°, 90.00° and 120.00°. The asymmetric unit holds Lu at (0.0000, 0.0000, 0.2390), P at (0.0000, 0.0000, 0.0000) and N at (0.0000, 0.0000, 0.5000).



5.
Below is Lu3Pa5N12 after structural relaxation, with properties calculated at the PBE level.

The density comes out at 9318 kg/m³. For the uncorrected formation energy, the calculation gives -1.22 eV/atom.

The structure belongs to space group Ia-3d (No. 230); the cell edges are 13.8119, 13.8119 and 13.8119 Å and the angles 90.00°, 90.00° and 90.00°. The asymmetric unit holds Lu at (0.0000, 0.2500, 0.1250), Pa at (0.0000, 0.0000, 0.0000), Pa at (0.0000, 0.2500, 0.3750) and N at (0.0130, 0.0448, 0.6565).



6.
Below is LuPaN after structural relaxation, with properties calculated at the PBE level.

The energy above the most stable polymorph in this dataset comes out at 0.000 eV/atom. The density comes out at 11930 kg/m³. For the uncorrected formation energy, the calculation gives -0.92 eV/atom.

The structure belongs to space group P3m1 (No. 156); the cell edges are 3.3368, 3.3368 and 6.0627 Å and the angles 90.00°, 90.00° and 120.00°. The asymmetric unit holds Lu at (0.0000, 0.0000, 0.0000), Pa at (0.6667, 0.3333, 0.5352) and N at (0.3333, 0.6667, 0.7838).



These records have volume values of 23.2 26.4 11.7 17.0 16.5 19.5 Å³ per atom, in the order they appear.
These records have total moment values of 0.0 0.0 0.0 0.0 0.0 0.1 Bohr magnetons per cell, in the order they appear.
These records have DOS at the Fermi energy values of 6.8 4.6 1.5 0.5 10.3 5.1 states/eV/f.u., in the order they appear.